Material: TcPtBr2
Method: DFT, PBE
State: optimized geometry

abc: 4.711 4.711 4.711
angles: 60.00 60.00 60.00
Sites, in units of the cell vectors:
Tc (0.000, 0.000, 0.000)
Pt (0.500, 0.500, 0.500)
Br (0.750, 0.750, 0.750)
Br (0.250, 0.250, 0.250)

Calculated values
formation energy without anion corrections = 0.9944 eV/atom
volume = 18.483 A^3/atom

Material: Tc3PtBr
Method: DFT, PBE
State: optimized geometry

abc: 5.028 5.028 5.028
angles: 90.00 90.00 90.00
Sites, in units of the cell vectors:
Tc (0.000, 0.000, 0.500)
Pt (0.000, 0.000, 0.000)
Tc (0.500, 0.000, 0.000)
Br (0.500, 0.500, 0.500)
Tc (0.000, 0.500, 0.000)

Calculated values
formation energy without anion corrections = 1.9320 eV/atom
volume = 25.422 A^3/atom

Material: TcPtBr2
Method: DFT, PBE
State: optimized geometry

abc: 6.444 6.444 6.444
angles: 145.65 145.65 49.37
Sites, in units of the cell vectors:
Br (0.250, 0.750, 0.500)
Tc (0.750, 0.250, 0.500)
Br (0.000, 0.000, 0.000)
Pt (0.500, 0.500, 0.000)

Calculated values
formation energy without anion corrections = 0.8812 eV/atom
volume = 21.207 A^3/atom

Material: Tc2PtBr
Method: DFT, PBE
State: optimized geometry

abc: 4.619 4.619 2.942
angles: 90.00 90.00 90.01
Sites, in units of the cell vectors:
Br (0.500, 0.000, 0.500)
Tc (0.000, 0.000, 0.000)
Tc (0.500, 0.500, 0.000)
Pt (0.000, 0.500, 0.500)

Calculated values
formation energy without anion corrections = 0.7182 eV/atom
volume = 15.693 A^3/atom